The following is a GGA-PBE calculation of LaCd10Hg2 after structural relaxation, from Alexandria via LeMat-Bulk.

Cell: 6.099 7.708 7.721 Å, 81.01 66.74 66.70°
Element x y z (fractional)
La: 0.000 0.000 0.000
Cd: 0.353 0.649 0.645
Cd: 0.647 0.351 0.355
Cd: 0.002 0.351 0.645
Cd: 0.998 0.649 0.355
Cd: 0.000 0.000 0.500
Cd: 0.500 0.000 0.500
Cd: 0.286 0.213 0.214
Cd: 0.714 0.787 0.786
Cd: 0.499 0.787 0.214
Cd: 0.501 0.213 0.786
Hg: 0.000 0.500 0.000
Hg: 0.500 0.500 0.000

Summary:
Its space group is Fmmm, No. 69. The calculation puts the total DFT energy (no corrections) at -1.244 eV/atom. The calculation puts the energy of formation at -0.115 eV/atom.

---

The following is a GGA-PBE calculation of CaTb2Ga after structural relaxation, from Alexandria via LeMat-Bulk.

Cell: 3.611 3.611 9.226 Å, 90.00 90.00 90.00°
Element x y z (fractional)
Ca: 0.500 0.500 0.500
Tb: 0.000 0.000 0.811
Tb: 0.000 0.000 0.189
Ga: 0.500 0.500 0.000

Summary:
Its space group is P4/mmm, No. 123. The energy above the lowest structure with this stoichiometry is 0.00 eV/f.u. The calculation puts the total DFT energy (no corrections) at -3.808 eV/atom. The calculation puts the energy of formation at -0.236 eV/atom.

---

The following is a GGA-PBE calculation of CeTh2P4 after structural relaxation, from Alexandria via LeMat-Bulk.

Cell: 4.086 7.198 12.816 Å, 90.00 90.00 106.49°
Element x y z (fractional)
Ce: 0.614 0.228 0.750
Ce: 0.386 0.772 0.250
Th: 0.134 0.267 0.432
Th: 0.866 0.733 0.932
Th: 0.134 0.267 0.068
Th: 0.866 0.733 0.568
P: 0.771 0.541 0.133
P: 0.771 0.541 0.367
P: 0.229 0.459 0.867
P: 0.229 0.459 0.633
P: 0.979 0.957 0.750
P: 0.021 0.043 0.250
P: 0.500 0.000 0.000
P: 0.500 0.000 0.500

Summary:
Its space group is Cmcm, No. 63. The calculation puts the total DFT energy (no corrections) at -7.212 eV/atom. The calculation puts the energy of formation at -1.153 eV/atom.

---

The following is a GGA-PBE calculation of Er2Mn2Zn15 after structural relaxation, from Alexandria via LeMat-Bulk.

Cell: 6.767 6.767 6.767 Å, 82.60 82.60 82.60°
Each line ends with the local moment (μB).
Element x y z (fractional)
Er: 0.335 0.335 0.335  0.04
Er: 0.665 0.665 0.665  0.04
Mn: 0.100 0.100 0.100  3.33
Mn: 0.900 0.900 0.900  3.33
Zn: 0.500 0.000 0.000  -0.02
Zn: 0.000 0.000 0.500  -0.02
Zn: 0.000 0.500 0.000  -0.02
Zn: 0.000 0.711 0.289  0.01
Zn: 0.711 0.289 0.000  0.01
Zn: 0.289 0.000 0.711  0.01
Zn: 0.289 0.711 0.000  0.01
Zn: 0.711 0.000 0.289  0.01
Zn: 0.000 0.289 0.711  0.01
Zn: 0.154 0.645 0.645  -0.01
Zn: 0.645 0.645 0.154  -0.01
Zn: 0.645 0.154 0.645  -0.01
Zn: 0.846 0.355 0.355  -0.01
Zn: 0.355 0.355 0.846  -0.01
Zn: 0.355 0.846 0.355  -0.01

Summary:
Its space group is R-3m, No. 166. The calculation puts the total DFT energy (no corrections) at -2.603 eV/atom. The calculation puts the energy of formation at -0.152 eV/atom.

---

The following is a GGA-PBE calculation of BaAg4IO2 after structural relaxation, from Alexandria via LeMat-Bulk.

Cell: 3.908 3.908 10.971 Å, 90.00 90.00 90.00°
Element x y z (fractional)
Ba: 0.000 0.000 0.500
Ag: 0.000 0.500 0.226
Ag: 0.500 0.000 0.774
Ag: 0.500 0.000 0.226
Ag: 0.000 0.500 0.774
I: 0.000 0.000 0.000
O: 0.500 0.500 0.371
O: 0.500 0.500 0.629

Summary:
Its space group is P4/mmm, No. 123. The calculation puts the total DFT energy (no corrections) at -3.515 eV/atom. The formation energy without anion corrections is -0.416 eV/atom.

---

The following is a GGA-PBE calculation of La9NdAl2 after structural relaxation, from Alexandria via LeMat-Bulk.

Cell: 5.046 5.046 15.358 Å, 90.00 90.00 90.00°
Element x y z (fractional)
La: 0.500 0.500 0.000
La: 0.500 0.500 0.342
La: 0.500 0.500 0.658
La: 0.500 0.000 0.178
La: 0.500 0.000 0.500
La: 0.500 0.000 0.822
La: 0.000 0.500 0.178
La: 0.000 0.500 0.500
La: 0.000 0.500 0.822
Nd: 0.000 0.000 0.000
Al: 0.000 0.000 0.339
Al: 0.000 0.000 0.661

Summary:
Its space group is P4/mmm, No. 123. The calculation puts the total DFT energy (no corrections) at -4.822 eV/atom. The calculation puts the energy of formation at -0.105 eV/atom.

---

The following is a GGA-PBE calculation of InGaFeAu2 after structural relaxation, from Alexandria via LeMat-Bulk.

Cell: 4.941 4.612 4.941 Å, 90.00 90.00 90.00°
Each line ends with the local moment (μB).
Element x y z (fractional)
Au: 0.000 0.000 0.500  0.12
Au: 0.500 0.000 0.000  0.02
Fe: 0.000 0.000 0.000  2.30
Ga: 0.000 0.500 0.000  -0.07
In: 0.500 0.500 0.500  -0.02

Summary:
Its space group is P4/mmm, No. 123. The calculation puts the total DFT energy (no corrections) at -3.787 eV/atom. The calculation puts the energy of formation at 0.370 eV/atom.

---

The following is a GGA-PBE calculation of Li3U3Te8Pd after structural relaxation, from Alexandria via LeMat-Bulk.

Cell: 8.333 8.330 8.687 Å, 118.63 90.02 120.00°
Each line ends with the local moment (μB).
Element x y z (fractional)
Li: 0.000 0.000 0.000  -0.01
Li: 0.000 0.500 0.000  -0.01
Li: 0.500 0.500 0.000  -0.01
U: 0.500 0.000 0.500  2.37
U: 0.500 0.500 0.500  2.37
U: 0.000 0.500 0.500  2.37
Te: 0.245 0.490 0.235  -0.07
Te: 0.755 0.510 0.765  -0.07
Te: 0.759 0.518 0.252  -0.06
Te: 0.241 0.482 0.748  -0.06
Te: 0.759 0.993 0.252  -0.06
Te: 0.241 0.007 0.748  -0.06
Te: 0.234 0.993 0.252  -0.06
Te: 0.766 0.007 0.748  -0.06
Pd: 0.000 0.000 0.500  0.03

Summary:
Its space group is R-3m, No. 166. The calculation puts the total DFT energy (no corrections) at -5.318 eV/atom. The formation energy without anion corrections is -0.656 eV/atom.

---

The following is a GGA-PBE calculation of Ba2Re after structural relaxation, from Alexandria via LeMat-Bulk.

Cell: 5.382 5.382 3.741 Å, 90.00 90.00 120.00°
Each line ends with the local moment (μB).
Element x y z (fractional)
Re: 0.000 0.000 0.000  1.08
Ba: 0.667 0.333 0.268  -0.06
Ba: 0.333 0.667 0.732  -0.06

Summary:
Its space group is P-3m1, No. 164. The energy above the lowest structure with this stoichiometry is 2.54 eV/f.u. The calculation puts the total DFT energy (no corrections) at -4.144 eV/atom. The calculation puts the energy of formation at 1.287 eV/atom.

---

The following is a GGA-PBE calculation of Tb2CeTmAs4 after structural relaxation, from Alexandria via LeMat-Bulk.

Cell: 4.140 7.158 7.168 Å, 109.41 90.00 90.00°
Each line ends with the local moment (μB).
Element x y z (fractional)
Tb: 0.500 0.000 0.500  0.01
Tb: 0.000 0.500 0.500  0.01
Ce: 0.500 0.500 0.000  0.49
Tm: 0.000 0.000 0.000  0.00
As: 0.500 0.246 0.247  -0.01
As: 0.500 0.754 0.753  -0.01
As: 0.000 0.247 0.750  -0.01
As: 0.000 0.753 0.250  -0.01

Summary:
Its space group is P2/m, No. 10. The calculation puts the total DFT energy (no corrections) at -6.285 eV/atom. The calculation puts the energy of formation at -1.502 eV/atom.

---

The following is a GGA-PBE calculation of CsGaCuF6 after structural relaxation, from Alexandria via LeMat-Bulk.

Cell: 7.411 7.411 7.411 Å, 121.49 119.47 89.18°
Each line ends with the local moment (μB).
Element x y z (fractional)
Cs: 0.371 0.621 0.750  0.00
Cs: 0.629 0.379 0.250  0.00
Ga: 0.000 0.000 0.000  0.00
Ga: 0.500 0.000 0.500  0.00
Cu: 0.000 0.000 0.500  0.75
Cu: 0.000 0.500 0.000  0.75
F: 0.309 0.059 0.250  0.00
F: 0.932 0.682 0.250  0.11
F: 0.333 0.690 0.265  0.03
F: 0.925 0.068 0.235  0.03
F: 0.333 0.068 0.643  0.03
F: 0.925 0.690 0.857  0.03
F: 0.691 0.941 0.750  0.00
F: 0.068 0.318 0.750  0.11
F: 0.667 0.310 0.735  0.03
F: 0.075 0.932 0.765  0.03
F: 0.667 0.932 0.357  0.03
F: 0.075 0.310 0.143  0.03

Summary:
Its space group is Imma, No. 74. The energy above the lowest structure with this stoichiometry is 0.00 eV/f.u. The calculation puts the total DFT energy (no corrections) at -4.495 eV/atom. The formation energy without anion corrections is -2.361 eV/atom.

---

The following is a GGA-PBE calculation of NdHoMg2 after structural relaxation, from Alexandria via LeMat-Bulk.

Cell: 3.500 3.500 11.166 Å, 80.98 80.98 60.00°
Element x y z (fractional)
Mg: 0.748 0.748 0.757
Mg: 0.252 0.252 0.243
Nd: 0.500 0.500 0.500
Ho: 0.000 0.000 0.000

Summary:
Its space group is R-3m, No. 166. The energy above the lowest structure with this stoichiometry is 0.55 eV/f.u. The calculation puts the total DFT energy (no corrections) at -3.094 eV/atom. The calculation puts the energy of formation at 0.039 eV/atom.

---

The following is a GGA-PBE calculation of Ti6CoBi3 after structural relaxation, from Alexandria via LeMat-Bulk.

Cell: 7.279 6.400 6.400 Å, 56.40 65.59 65.59°
Element x y z (fractional)
Ti: 0.387 0.144 0.641
Ti: 0.613 0.359 0.856
Ti: 0.613 0.856 0.359
Ti: 0.387 0.641 0.144
Ti: 0.223 0.713 0.713
Ti: 0.777 0.287 0.287
Co: 0.500 0.500 0.500
Bi: 0.221 0.226 0.226
Bi: 0.779 0.774 0.774
Bi: 0.000 0.000 0.000

Summary:
Its space group is C2/m, No. 12. The energy above the lowest structure with this stoichiometry is 1.42 eV/f.u. The calculation puts the total DFT energy (no corrections) at -6.565 eV/atom. The calculation puts the energy of formation at 0.047 eV/atom.

---

The following is a GGA-PBE calculation of Ba2InPtN after structural relaxation, from Alexandria via LeMat-Bulk.

Cell: 6.084 6.084 3.832 Å, 90.00 90.00 90.00°
Element x y z (fractional)
N: 0.000 0.000 0.000
Ba: 0.000 0.500 0.000
Ba: 0.500 0.000 0.000
Pt: 0.000 0.000 0.500
In: 0.500 0.500 0.500

Summary:
Its space group is P4/mmm, No. 123. The energy above the lowest structure with this stoichiometry is 0.00 eV/f.u. The calculation puts the total DFT energy (no corrections) at -4.636 eV/atom. The formation energy without anion corrections is -0.446 eV/atom.

---

The following is a GGA-PBE calculation of BeNb2O after structural relaxation, from Alexandria via LeMat-Bulk.

Cell: 4.787 4.787 6.492 Å, 68.37 68.37 90.00°
Element x y z (fractional)
Be: 0.500 0.500 0.000
Be: 0.250 0.750 0.500
Nb: 0.686 0.125 0.250
Nb: 0.064 0.625 0.250
Nb: 0.375 0.314 0.750
Nb: 0.875 0.936 0.750
O: 0.000 0.000 0.000
O: 0.750 0.250 0.500

Summary:
Its space group is I-42d, No. 122. The energy above the lowest structure with this stoichiometry is 0.00 eV/f.u. The calculation puts the total DFT energy (no corrections) at -7.392 eV/atom. The formation energy without anion corrections is -0.186 eV/atom.

---

The following is a GGA-PBE calculation of ScMoH4 after structural relaxation, from Alexandria via LeMat-Bulk.

Cell: 3.257 3.258 4.429 Å, 89.99 89.99 90.00°
Element x y z (fractional)
Sc: 0.501 0.497 0.998
Mo: 0.001 0.997 0.498
H: 0.501 0.997 0.275
H: 0.501 0.997 0.722
H: 0.001 0.497 0.722
H: 0.001 0.497 0.275

Summary:
Its space group is P4/mmm, No. 123. The calculation puts the total DFT energy (no corrections) at -5.435 eV/atom.

---

The following is a GGA-PBE calculation of ScCo2GeC after structural relaxation, from Alexandria via LeMat-Bulk.

Cell: 3.573 5.608 6.742 Å, 90.00 90.00 108.57°
Element x y z (fractional)
Sc: 0.460 0.919 0.750
Sc: 0.540 0.081 0.250
Co: 0.159 0.318 0.946
Co: 0.841 0.682 0.054
Co: 0.159 0.318 0.554
Co: 0.841 0.682 0.446
Ge: 0.735 0.470 0.750
Ge: 0.265 0.530 0.250
C: 0.000 0.000 0.000
C: 0.000 0.000 0.500

Summary:
Its space group is Cmcm, No. 63. The energy above the lowest structure with this stoichiometry is 0.00 eV/f.u. The calculation puts the total DFT energy (no corrections) at -7.309 eV/atom. The calculation puts the energy of formation at -0.432 eV/atom.

---

The following is a GGA-PBE calculation of SnTeRuN2 after structural relaxation, from Alexandria via LeMat-Bulk.

Cell: 4.077 4.077 5.871 Å, 90.00 90.00 90.00°
Each line ends with the local moment (μB).
Element x y z (fractional)
Ru: 0.000 0.000 0.000  -0.08
Te: 0.000 0.000 0.500  0.01
Sn: 0.500 0.500 0.500  -0.02
N: 0.000 0.500 0.000  0.21
N: 0.500 0.000 0.000  0.21

Summary:
Its space group is P4/mmm, No. 123. The energy above the lowest structure with this stoichiometry is 0.00 eV/f.u. The calculation puts the total DFT energy (no corrections) at -5.676 eV/atom. The formation energy without anion corrections is 0.938 eV/atom.

---

The following is a GGA-PBE calculation of Ho5Er6Th2 after structural relaxation, from Alexandria via LeMat-Bulk.

Cell: 3.534 11.454 20.384 Å, 90.00 90.00 90.00°
Element x y z (fractional)
Ho: 0.500 0.306 0.427
Ho: 0.500 0.694 0.573
Ho: 0.500 0.806 0.073
Ho: 0.500 0.194 0.927
Ho: 0.500 0.574 0.290
Ho: 0.500 0.426 0.710
Ho: 0.500 0.074 0.210
Ho: 0.500 0.926 0.790
Ho: 0.500 0.500 0.000
Ho: 0.500 0.000 0.500
Er: 0.000 0.065 0.355
Er: 0.000 0.935 0.645
Er: 0.000 0.565 0.145
Er: 0.000 0.435 0.855
Er: 0.500 0.315 0.123
Er: 0.500 0.685 0.877
Er: 0.500 0.815 0.377
Er: 0.500 0.185 0.623
Er: 0.000 0.574 0.434
Er: 0.000 0.426 0.566
Er: 0.000 0.074 0.066
Er: 0.000 0.926 0.934
Th: 0.000 0.316 0.268
Th: 0.000 0.684 0.732
Th: 0.000 0.816 0.232
Th: 0.000 0.184 0.768

Summary:
Its space group is Pbam, No. 55. The calculation puts the total DFT energy (no corrections) at -4.898 eV/atom. The calculation puts the energy of formation at 0.110 eV/atom.

---

The following is a GGA-PBE calculation of CaAlCd2 after structural relaxation, from Alexandria via LeMat-Bulk.

Cell: 4.606 4.606 10.666 Å, 77.53 77.53 90.00°
Element x y z (fractional)
Ca: 0.000 0.000 0.000
Ca: 0.750 0.250 0.500
Al: 0.500 0.500 0.000
Al: 0.250 0.750 0.500
Cd: 0.574 0.125 0.250
Cd: 0.176 0.625 0.250
Cd: 0.375 0.426 0.750
Cd: 0.875 0.824 0.750

Summary:
Its space group is I-42d, No. 122. The calculation puts the total DFT energy (no corrections) at -1.843 eV/atom. The calculation puts the energy of formation at 0.050 eV/atom.